Density functional theory data (PBE-GGA) for a relaxed ErMgPb3 crystal.

The structure in POSCAR format:
```
ErMgPb3
1.0
5.1685 0.0000 0.0000
0.0000 6.5387 0.0000
0.0000 0.0000 8.7359
Pb Er Mg
6 2 2
direct
0.0000 0.2531 0.3262
0.5000 0.5000 0.0287
0.5000 0.2469 0.6738
0.0000 0.0000 0.9713
0.0000 0.7469 0.3262
0.5000 0.7531 0.6738
0.5000 0.0000 0.1948
0.0000 0.5000 0.8052
0.0000 0.0000 0.6288
0.5000 0.5000 0.3712
```

## Properties
* relative energy among the computed polymorphs: 152.6 meV/atom
* symmetry: Pmmn
* uncorrected energy: -3.51 eV per atom